No. 1
A plane-wave DFT calculation with GGA-PBE was carried out for a relaxed TmTaCd2O6 crystal.

Properties
Space group: P2_1/c
Magnetization, μB/cell: 0.000
Uncorrected formation energy, meV per atom: -2347
Calculated total energy, eV per atom: -7.137

a b c (Å): 5.5878 5.7388 9.8321
angles (deg): 90.00 124.28 90.00
Closest atoms and distances in Å follow each position.
Element x y z (fractional)
Tm 0.0000 0.0000 0.0000  6 O 2.21-2.25
Tm 0.0000 0.5000 0.5000  6 O 2.21-2.25
Ta 0.5000 0.0000 0.5000  6 O 2.00-2.04
Ta 0.5000 0.5000 0.0000  6 O 2.00-2.04
Cd 0.2566 0.0427 0.7496  4 O 2.28-2.41
Cd 0.2566 0.4573 0.2496  4 O 2.28-2.41
Cd 0.7434 0.5427 0.7504  4 O 2.28-2.41
Cd 0.7434 0.9573 0.2504  4 O 2.28-2.41
O 0.1552 0.0541 0.2641  1 Ta 2.04, 1 Tm 2.25
O 0.1552 0.4459 0.7641  1 Ta 2.04, 1 Tm 2.25
O 0.2566 0.6782 0.0542  1 Ta 2.00, 1 Tm 2.21
O 0.2566 0.8218 0.5542  1 Ta 2.00, 1 Tm 2.21
O 0.3919 0.2047 0.0636  1 Ta 2.01, 1 Tm 2.24
O 0.3919 0.2953 0.5636  1 Ta 2.01, 1 Tm 2.24
O 0.6081 0.7047 0.4364  1 Ta 2.01, 1 Tm 2.24
O 0.6081 0.7953 0.9364  1 Ta 2.01, 1 Tm 2.24
O 0.7434 0.1782 0.4458  1 Ta 2.00, 1 Tm 2.21
O 0.7434 0.3218 0.9458  1 Ta 2.00, 1 Tm 2.21
O 0.8448 0.5541 0.2359  1 Ta 2.04, 1 Tm 2.25
O 0.8448 0.9459 0.7359  1 Ta 2.04, 1 Tm 2.25

No. 2
A plane-wave DFT calculation with GGA-PBE was carried out for a relaxed Tb5Sm5Sc crystal.

Properties
Space group: P-6m2
Magnetization, μB/cell: 0.000
Calculated formation energy, meV/atom: 335
Calculated total energy, eV per atom: -4.490

a b c (Å): 6.0770 6.0770 11.5744
angles (deg): 90.00 90.00 120.00
Closest atoms and distances in Å follow each position.
Element x y z (fractional)
Tb 0.0000 0.0000 0.2351  1 Sm 3.07, 3 Tb 3.25
Tb 0.0000 0.0000 0.7649  1 Sm 3.07, 3 Tb 3.25
Tb 0.3362 0.1681 0.0000  6 Tb 3.01-3.25
Tb 0.8319 0.1681 0.0000  6 Tb 3.01-3.25
Tb 0.8319 0.6638 0.0000  6 Tb 3.01-3.25
Sm 0.0000 0.0000 0.5000  2 Tb 3.07
Sm 0.3333 0.6667 0.1907  9 Tb 3.55-3.76, 1 Sc 3.58, 3 Sm 3.94
Sm 0.3333 0.6667 0.8093  9 Tb 3.55-3.76, 1 Sc 3.58, 3 Sm 3.94
Sm 0.6667 0.3333 0.3452  7 Sm 3.58-3.94, 3 Tb 3.73, 3 Sc 3.94
Sm 0.6667 0.3333 0.6548  7 Sm 3.58-3.94, 3 Tb 3.73, 3 Sc 3.94
Sc 0.3333 0.6667 0.5000  5 Sm 3.51-3.58

No. 3
A plane-wave DFT calculation with GGA-PBE was carried out for a relaxed La4Pr2Ho3 crystal.

Properties
Space group: Fmmm
Magnetization, μB/cell: 0.000
Calculated formation energy, meV/atom: 142
E above lowest polymorph, eV per atom: 0.086
Calculated total energy, eV per atom: -4.636

a b c (Å): 10.0514 8.5602 6.9800
angles (deg): 79.90 56.97 43.13
Closest atoms and distances in Å follow each position.
Element x y z (fractional)
La 0.0465 0.3336 0.6664  2 La 3.25-3.55, 1 Ho 3.50, 1 Pr 3.64
La 0.3336 0.0465 0.9535  2 La 3.25-3.55, 1 Ho 3.50, 1 Pr 3.64
La 0.6664 0.9535 0.0465  2 La 3.25-3.55, 1 Ho 3.50, 1 Pr 3.64
La 0.9535 0.6664 0.3336  2 La 3.25-3.55, 1 Ho 3.50, 1 Pr 3.64
Pr 0.3904 0.3904 0.6096  1 Pr 3.47, 2 La 3.64, 2 Ho 3.67
Pr 0.6096 0.6096 0.3904  1 Pr 3.47, 2 La 3.64, 2 Ho 3.67
Ho 0.0000 0.0000 0.0000  4 Ho 3.49, 4 La 3.50, 4 Pr 3.67
Ho 0.0000 0.0000 0.5000  4 Ho 3.24-3.49
Ho 0.5000 0.5000 0.0000  4 Ho 3.24-3.49

No. 4
A plane-wave DFT calculation with GGA-PBE was carried out for a relaxed TaCu2Rh crystal.

Properties
Space group: R-3m
Magnetization, μB/cell: 0.581
Calculated formation energy, meV/atom: 162
Calculated total energy, eV per atom: -6.687

a b c (Å): 8.9820 8.9820 8.9820
angles (deg): 17.58 17.58 17.58
Closest atoms and distances in Å follow each position.
Element x y z (fractional)
Ta 0.0000 0.0000 0.0000  6 Ta 2.75, 6 Cu 2.79
Cu 0.2470 0.2470 0.2470  3 Rh 2.66, 6 Cu 2.75, 3 Ta 2.79
Cu 0.7530 0.7530 0.7530  3 Rh 2.66, 6 Cu 2.75, 3 Ta 2.79
Rh 0.5000 0.5000 0.5000  6 Cu 2.66, 6 Rh 2.75

No. 5
A plane-wave DFT calculation with GGA-PBE was carried out for a relaxed YScRe2 crystal.

Properties
Space group: R-3m
Magnetization, μB/cell: 0.000
Calculated formation energy, meV/atom: 506
E above lowest polymorph, eV per atom: 0.552
Calculated total energy, eV per atom: -8.917

a b c (Å): 9.2670 9.2670 9.2670
angles (deg): 19.14 19.14 19.14
Closest atoms and distances in Å follow each position.
Element x y z (fractional)
Y 0.0000 0.0000 0.0000  6 Re 2.97, 6 Y 3.08
Sc 0.5000 0.5000 0.5000  6 Re 2.81, 6 Sc 3.08
Re 0.2462 0.2462 0.2462  3 Sc 2.81, 3 Y 2.97, 6 Re 3.08
Re 0.7538 0.7538 0.7538  3 Sc 2.81, 3 Y 2.97, 6 Re 3.08

No. 6
A plane-wave DFT calculation with GGA-PBE was carried out for a relaxed Sb2TePb2 crystal.

Properties
Space group: I4/mmm
Magnetization, μB/cell: 0.000
Uncorrected formation energy, meV per atom: -54
E above lowest polymorph, eV per atom: 0.000
Calculated total energy, eV per atom: -3.815

a b c (Å): 9.1897 9.1897 9.1897
angles (deg): 152.76 152.76 38.91
Closest atoms and distances in Å follow each position.
Element x y z (fractional)
Sb 0.2500 0.7500 0.5000  4 Sb 3.06, 4 Pb 3.40
Sb 0.7500 0.2500 0.5000  4 Sb 3.06, 4 Pb 3.40
Te 0.0000 0.0000 0.0000  8 Pb 3.50
Pb 0.4016 0.4016 0.0000  4 Sb 3.40, 1 Pb 3.41, 4 Te 3.50
Pb 0.5984 0.5984 0.0000  4 Sb 3.40, 1 Pb 3.41, 4 Te 3.50

No. 7
A plane-wave DFT calculation with GGA-PBE was carried out for a relaxed Tb2Nd8Tl crystal.

Properties
Space group: C2/m
Magnetization, μB/cell: 0.000
Calculated formation energy, meV/atom: -43
E above lowest polymorph, eV per atom: 0.000
Calculated total energy, eV per atom: -4.567

a b c (Å): 9.5724 9.5724 8.1339
angles (deg): 105.06 105.06 30.75
Closest atoms and distances in Å follow each position.
Element x y z (fractional)
Tb 0.2244 0.2244 0.1333  10 Nd 3.59-3.67, 2 Tb 3.63
Tb 0.7756 0.7756 0.8667  10 Nd 3.59-3.67, 2 Tb 3.63
Nd 0.0447 0.0447 0.2266  9 Nd 3.57-3.68, 1 Tb 3.60, 2 Tl 3.61
Nd 0.1371 0.1371 0.6799  7 Nd 3.57-3.65, 2 Tl 3.60, 3 Tb 3.61-3.63
Nd 0.3210 0.3210 0.5915  1 Tl 3.58, 8 Nd 3.58-3.70, 3 Tb 3.63-3.67
Nd 0.4094 0.4094 0.0568  1 Tl 3.54, 8 Nd 3.57-3.70, 3 Tb 3.59-3.63
Nd 0.5906 0.5906 0.9432  1 Tl 3.54, 8 Nd 3.57-3.70, 3 Tb 3.59-3.63
Nd 0.6790 0.6790 0.4085  1 Tl 3.58, 8 Nd 3.58-3.70, 3 Tb 3.63-3.67
Nd 0.8629 0.8629 0.3201  7 Nd 3.57-3.65, 2 Tl 3.60, 3 Tb 3.61-3.63
Nd 0.9553 0.9553 0.7734  9 Nd 3.57-3.68, 1 Tb 3.60, 2 Tl 3.61
Tl 0.5000 0.5000 0.5000  12 Nd 3.54-3.61

No. 8
A plane-wave DFT calculation with GGA-PBE was carried out for a relaxed Sm8InTc2 crystal.

Properties
Space group: P1
Magnetization, μB/cell: 0.000
Calculated formation energy, meV/atom: -44
Calculated total energy, eV per atom: -5.610

a b c (Å): 5.4692 7.0229 9.2013
angles (deg): 111.30 107.28 90.29
Closest atoms and distances in Å follow each position.
Element x y z (fractional)
Sm 0.0000 0.0000 0.0000  1 In 3.13, 3 Tc 3.27-3.32, 3 Sm 3.33-3.35
Sm 0.0309 0.5691 0.0738  3 Tc 3.05-3.15, 5 Sm 3.33-3.40
Sm 0.2156 0.0788 0.4350  1 Tc 2.67
Sm 0.3316 0.7600 0.6736  2 Tc 2.94-2.99
Sm 0.4256 0.3169 0.8641  1 Tc 2.74
Sm 0.6183 0.1643 0.2328  3 Tc 2.90-3.20
Sm 0.6519 0.6736 0.3193  2 Tc 3.00-3.30, 1 In 3.14
Sm 0.8087 0.4785 0.6375  1 In 3.10, 3 Sm 3.30-3.39
In 0.8255 0.0491 0.6602  9 Sm 3.10-3.44
Tc 0.1840 0.4051 0.3489  2 Sm 2.67-2.99
Tc 0.4935 0.7387 0.0014  4 Sm 2.74-3.00

Q: Which value of magnetization does entry 5 give?
A: 0.000 μB/cell

Q: The highest calculated total energy belongs to which entry?
A: Sb2TePb2

Q: What is the magnetization in the second record?
A: 0.000 μB/cell

Please write out number 2 again, unchanged.
A plane-wave DFT calculation with GGA-PBE was carried out for a relaxed Tb5Sm5Sc crystal.

Properties
Space group: P-6m2
Magnetization, μB/cell: 0.000
Calculated formation energy, meV/atom: 335
Calculated total energy, eV per atom: -4.490

a b c (Å): 6.0770 6.0770 11.5744
angles (deg): 90.00 90.00 120.00
Closest atoms and distances in Å follow each position.
Element x y z (fractional)
Tb 0.0000 0.0000 0.2351  1 Sm 3.07, 3 Tb 3.25
Tb 0.0000 0.0000 0.7649  1 Sm 3.07, 3 Tb 3.25
Tb 0.3362 0.1681 0.0000  6 Tb 3.01-3.25
Tb 0.8319 0.1681 0.0000  6 Tb 3.01-3.25
Tb 0.8319 0.6638 0.0000  6 Tb 3.01-3.25
Sm 0.0000 0.0000 0.5000  2 Tb 3.07
Sm 0.3333 0.6667 0.1907  9 Tb 3.55-3.76, 1 Sc 3.58, 3 Sm 3.94
Sm 0.3333 0.6667 0.8093  9 Tb 3.55-3.76, 1 Sc 3.58, 3 Sm 3.94
Sm 0.6667 0.3333 0.3452  7 Sm 3.58-3.94, 3 Tb 3.73, 3 Sc 3.94
Sm 0.6667 0.3333 0.6548  7 Sm 3.58-3.94, 3 Tb 3.73, 3 Sc 3.94
Sc 0.3333 0.6667 0.5000  5 Sm 3.51-3.58